Computed, not measured: a geometry-optimized Tm6In2N structure at the PBE level of DFT.

Cell: 6.7577 6.7577 6.7576 Å, 60.00 60.00 60.00°
Sites, in units of the cell vectors:
Tm (0.7448, 0.2548, 0.7452)
Tm (0.2552, 0.7452, 0.2548)
In (0.7500, 0.7500, 0.7500)
Tm (0.7452, 0.2552, 0.2548)
Tm (0.2550, 0.2550, 0.7446)
In (0.2500, 0.2500, 0.2500)
Tm (0.7450, 0.7450, 0.2554)
N (0.5000, 0.5000, 0.5000)
Tm (0.2548, 0.7448, 0.7452)

## Properties
Fermi-level density of states	0.8738	states/eV per atom
uncorrected formation energy	-5.7	eV per formula unit
E	-5.153	eV per atom
size of the total moment	0.00	μB per formula unit

Computed, not measured: a geometry-optimized In5P structure at the PBE level of DFT.

Cell: 5.8785 5.8785 5.7191 Å, 90.00 90.00 120.00°
Sites, in units of the cell vectors:
In (0.0000, 0.5000, 0.5000)
P (0.0000, 0.0000, 0.0000)
In (0.5000, 0.5000, 0.5000)
In (0.5000, 0.0000, 0.5000)
In (0.6667, 0.3333, 0.0000)
In (0.3333, 0.6667, 0.0000)

## Properties
ΔH_f (0 K)	256.7	kJ/mol of formula units
Fermi-level density of states	0.6428	states/eV per atom
E	-2.740	eV per atom
size of the total moment	0.00	μB per formula unit